Record 1
# CoSiAs, PBEsol geometry, DFT SCAN
# magnetic moment = 0.266 μB/atom
# DOS at the Fermi energy = 2.8 states/eV/cell
# distance to the lowest polymorph of the same formula = 14 meV/atom
# formation energy from raw total energies = 0.11 eV/atom
data_CoSiAs
_chemical_formula_sum 'Co2 Si2 As2'
_space_group_name_H-M_alt 'I 4 m m'
_space_group_IT_number 107
_space_group_name_Hall 'I 4 -2'
_cell_length_a 2.734
_cell_length_b 2.734
_cell_length_c 10.890
_cell_angle_alpha 90.00
_cell_angle_beta 90.00
_cell_angle_gamma 90.00
loop_
_atom_site_label
_atom_site_type_symbol
_atom_site_fract_x
_atom_site_fract_y
_atom_site_fract_z
Co1 Co 0.000 0.000 0.000
Si1 Si 0.000 0.000 0.372
As1 As 0.000 0.000 0.648



Record 2
# CoSiAs, PBEsol geometry, DFT SCAN
# magnetic moment = 0.174 μB/atom
# DOS at the Fermi energy = 1.6 states/eV/cell
# distance to the lowest polymorph of the same formula = 0 meV/atom
# formation energy from raw total energies = 0.10 eV/atom
data_CoSiAs
_chemical_formula_sum 'Co1 Si1 As1'
_space_group_name_H-M_alt 'P 3 m 1'
_space_group_IT_number 156
_cell_length_a 3.0178
_cell_length_b 3.0178
_cell_length_c 5.1654
_cell_angle_alpha 90.00
_cell_angle_beta 90.00
_cell_angle_gamma 120.00
loop_
_space_group_symop_operation_xyz
'x,y,z'
'-y,x-y,z'
'-x+y,-x,z'
'-y,-x,z'
'-x+y,y,z'
'x,x-y,z'
loop_
_atom_site_label
_atom_site_type_symbol
_atom_site_fract_x
_atom_site_fract_y
_atom_site_fract_z
Co1 Co 0.0000 0.0000 0.0000
Si1 Si 0.3333 0.6667 0.7099
As1 As 0.6667 0.3333 0.3119



Record 3
# CoSi2As, PBEsol geometry, DFT SCAN
# magnetic moment = 0.000 μB/atom
# DOS at the Fermi energy = 2.0 states/eV/cell
# formation energy from raw total energies = 0.14 eV/atom
data_CoSi2As
_chemical_formula_sum 'Co1 Si2 As1'
_space_group_name_H-M_alt 'P 1 2/m 1'
_space_group_IT_number 10
_cell_length_a 4.467
_cell_length_b 2.676
_cell_length_c 5.402
_cell_angle_alpha 90.00
_cell_angle_beta 114.26
_cell_angle_gamma 90.00
loop_
_space_group_symop_operation_xyz
'x,y,z'
'-x,-y,-z'
'-x,y,-z'
'x,-y,z'
loop_
_atom_site_label
_atom_site_type_symbol
_atom_site_fract_x
_atom_site_fract_y
_atom_site_fract_z
Co1 Co 0.000 0.000 0.000
Si1 Si 0.194 0.500 0.387
As1 As 0.500 0.000 0.000



Repeat the third record exactly.
# CoSi2As, PBEsol geometry, DFT SCAN
# magnetic moment = 0.000 μB/atom
# DOS at the Fermi energy = 2.0 states/eV/cell
# formation energy from raw total energies = 0.14 eV/atom
data_CoSi2As
_chemical_formula_sum 'Co1 Si2 As1'
_space_group_name_H-M_alt 'P 1 2/m 1'
_space_group_IT_number 10
_cell_length_a 4.467
_cell_length_b 2.676
_cell_length_c 5.402
_cell_angle_alpha 90.00
_cell_angle_beta 114.26
_cell_angle_gamma 90.00
loop_
_space_group_symop_operation_xyz
'x,y,z'
'-x,-y,-z'
'-x,y,-z'
'x,-y,z'
loop_
_atom_site_label
_atom_site_type_symbol
_atom_site_fract_x
_atom_site_fract_y
_atom_site_fract_z
Co1 Co 0.000 0.000 0.000
Si1 Si 0.194 0.500 0.387
As1 As 0.500 0.000 0.000



> Which of these has the lowest DOS at the Fermi energy?

number 2